## Ac5Pm2Er (PBE)

Data for a relaxed structure of Ac5Pm2Er.

Formation energy from the elements, kJ/mol of formula units: 90.6
Symmetry: No. 63

```
data_Ac5Pm2Er
_symmetry_space_group_name_H-M 'P 1'
_symmetry_Int_Tables_number 1
_cell_length_a 5.797
_cell_length_b 6.960
_cell_length_c 17.859
_cell_angle_alpha 90.00
_cell_angle_beta 90.00
_cell_angle_gamma 114.61
loop_
_symmetry_equiv_pos_as_xyz
'x,y,z'
loop_
_atom_site_label
_atom_site_type_symbol
_atom_site_fract_x
_atom_site_fract_y
_atom_site_fract_z
Ac1 Ac 0.356 0.713 0.457
Ac2 Ac 0.644 0.287 0.957
Ac3 Ac 0.052 0.104 0.101
Ac4 Ac 0.948 0.896 0.899
Ac5 Ac 0.948 0.896 0.601
Ac6 Ac 0.356 0.713 0.043
Ac7 Ac 0.508 0.016 0.250
Ac8 Ac 0.644 0.287 0.543
Ac9 Ac 0.492 0.984 0.750
Ac10 Ac 0.052 0.104 0.399
Er1 Er 0.765 0.531 0.750
Er2 Er 0.235 0.469 0.250
Pm1 Pm 0.759 0.519 0.148
Pm2 Pm 0.241 0.481 0.648
Pm3 Pm 0.759 0.519 0.352
Pm4 Pm 0.241 0.481 0.852
```